--- w ---
The following is a PBE-GGA calculation of a relaxed structure of SiTeSe2, from Alexandria via LeMat-Bulk.

The value obtained for the density is 6.1 Mg/m³.

The space group is F-43m (No. 216) and the conventional cell measures 7.001, 7.001 and 7.001 Å, with angles of 90.00, 90.00 and 90.00 degrees. The asymmetric unit holds Si at (0.000, 0.000, 0.000), Te at (0.250, 0.250, 0.250), Se at (0.000, 0.000, 0.500) and Se at (0.250, 0.250, 0.750).

=====

--- x ---
The following is a PBE-GGA calculation of a relaxed structure of SiTeSe2, from Alexandria via LeMat-Bulk.

The value obtained for the density is 6.1 Mg/m³.

The space group is Fm-3m (No. 225) and the conventional cell measures 7.008, 7.008 and 7.008 Å, with angles of 90.00, 90.00 and 90.00 degrees. The asymmetric unit holds Si at (0.000, 0.000, 0.000), Te at (0.000, 0.000, 0.500) and Se at (0.250, 0.250, 0.250).

=====

Q: Which of them is the least stable? A: w.

=====

--- w ---
The following is a PBE-GGA calculation of a relaxed structure of SiTe2Se2, from Alexandria via LeMat-Bulk.

The value obtained for the density is 5.0 Mg/m³.

The space group is I4/mmm (No. 139) and the conventional cell measures 5.730, 5.730 and 8.973 Å, with angles of 90.00, 90.00 and 90.00 degrees. The asymmetric unit holds Si at (0.000, 0.000, 0.000), Te at (0.000, 0.500, 0.250) and Se at (0.000, 0.000, 0.299).

=====

--- x ---
The following is a PBE-GGA calculation of a relaxed structure of SiTe2Se2, from Alexandria via LeMat-Bulk.

The value obtained for the density is 5.0 Mg/m³.

The space group is I4/mmm (No. 139) and the conventional cell measures 5.773, 5.773 and 8.802 Å, with angles of 90.00, 90.00 and 90.00 degrees. The asymmetric unit holds Si at (0.000, 0.000, 0.000), Te at (0.000, 0.000, 0.308) and Se at (0.000, 0.500, 0.250).

=====

Q: Which of them is the least stable? A: x.